1.
Density functional theory data (PBE) for a relaxed CaAc2ZnPd6 crystal.

Properties
Spin magnetization in μB per formula unit: 0.0
ΔH_f (0 K) in eV/atom: -0.5712
Fermi-level density of states in states/eV per cell: 10.6
Crystal system: trigonal

abc: 6.5553 6.5553 13.0710
angles: 75.48 75.48 60.00
Last column: nearest neighbours and their distance in Å.
Element x y z (fractional)
Pd  0.9231  0.3331  0.4108  1 Zn 2.50, 2 Pd 2.69
Pd  0.7792  0.3552  0.0864  1 Zn 2.43
Zn  0.0000  0.0000  0.0000  6 Pd 2.43
Pd  0.7792  0.7792  0.0864  1 Zn 2.43
Pd  0.3331  0.9231  0.4108  1 Zn 2.50, 2 Pd 2.69
Ac  0.1228  0.1228  0.6316  9 Pd 3.17-3.34
Pd  0.2208  0.2208  0.9136  1 Zn 2.43
Pd  0.3552  0.7792  0.0864  1 Zn 2.43
Pd  0.2208  0.6448  0.9136  1 Zn 2.43
Ca  0.4235  0.4235  0.7295  6 Pd 2.81-2.84, 1 Zn 2.87
Ac  0.2870  0.2870  0.1389  9 Pd 3.24-3.36
Ac  0.7130  0.7130  0.8611  9 Pd 3.24-3.36
Pd  0.0769  0.6669  0.5892  1 Zn 2.50, 2 Pd 2.69
Pd  0.6448  0.2208  0.9136  1 Zn 2.43
Ac  0.8772  0.8772  0.3684  9 Pd 3.17-3.34
Ca  0.5765  0.5765  0.2705  6 Pd 2.81-2.84, 1 Zn 2.87
Zn  0.5000  0.5000  0.5000  6 Pd 2.50
Pd  0.6669  0.6669  0.5892  1 Zn 2.50, 2 Pd 2.69
Pd  0.3331  0.3331  0.4108  1 Zn 2.50, 2 Pd 2.69
Pd  0.6669  0.0769  0.5892  1 Zn 2.50, 2 Pd 2.69

---

2.
Density functional theory data (PBE) for a relaxed NbCoRh3 crystal.

Properties
Spin magnetization in μB per formula unit: 2.5
Distance to the lowest polymorph of the same formula in meV per atom: 441
ΔH_f (0 K) in eV/atom: 1.3170
Fermi-level density of states in states/eV per cell: 6.7
Crystal system: cubic

abc: 4.6844 4.6844 4.6844
angles: 90.00 90.00 90.00
Last column: nearest neighbours and their distance in Å.
Element x y z (fractional)
Rh  0.0000  0.5000  0.0000  2 Nb 2.34
Co  0.5000  0.5000  0.5000  12 Rh 3.31
Rh  0.5000  0.0000  0.0000  2 Nb 2.34
Rh  0.0000  0.0000  0.5000  2 Nb 2.34
Nb  0.0000  0.0000  0.0000  6 Rh 2.34

---

3.
Density functional theory data (PBE) for a relaxed CoNiRh2 crystal.

Properties
Spin magnetization in μB per formula unit: 3.7
Distance to the lowest polymorph of the same formula in meV per atom: 165
ΔH_f (0 K) in eV/atom: 0.2199
Fermi-level density of states in states/eV per cell: 7.6
Crystal system: orthorhombic

abc: 2.6207 2.6207 8.6817
angles: 90.00 90.00 117.79
Last column: nearest neighbours and their distance in Å.
Element x y z (fractional)
Rh  0.0000  0.0000  0.4991  2 Co 2.55, 2 Ni 2.56, 6 Rh 2.62-2.71
Co  0.5000  0.5000  0.2500  4 Rh 2.55, 6 Co 2.62-2.71
Rh  0.0000  0.0000  0.0009  2 Co 2.55, 2 Ni 2.56, 6 Rh 2.62-2.71
Ni  0.5000  0.5000  0.7500  4 Rh 2.56, 6 Ni 2.62-2.71

---

4.
Density functional theory data (PBE) for a relaxed Li2CuTc crystal.

Properties
Spin magnetization in μB per formula unit: 0.0
Distance to the lowest polymorph of the same formula in meV per atom: 585
ΔH_f (0 K) in eV/atom: 0.7018
Fermi-level density of states in states/eV per cell: 7.1
Crystal system: tetragonal

abc: 6.5767 6.5767 5.2733
angles: 51.42 51.42 90.00
Last column: nearest neighbours and their distance in Å.
Element x y z (fractional)
Li  0.6042  0.1250  0.2500  2 Cu 2.32, 2 Li 2.50, 2 Tc 2.50
Cu  0.2500  0.7500  0.5000  4 Li 2.32, 2 Tc 2.49
Tc  0.0000  0.0000  0.0000  2 Cu 2.49, 4 Li 2.50
Cu  0.5000  0.5000  0.0000  4 Li 2.32, 2 Tc 2.49
Li  0.1458  0.6250  0.2500  2 Cu 2.32, 2 Li 2.50, 2 Tc 2.50
Tc  0.7500  0.2500  0.5000  2 Cu 2.49, 4 Li 2.50
Li  0.3750  0.3958  0.7500  2 Cu 2.32, 2 Li 2.50, 2 Tc 2.50
Li  0.8750  0.8542  0.7500  2 Cu 2.32, 2 Li 2.50, 2 Tc 2.50